Record 1
Zn2WBr (GGA-PBEsol, optimized geometry); ρ = 8.96 Mg/m³; energy above the most stable polymorph in this dataset = 60 meV per atom; space group = P4/mmm, No. 123; E_tot = -4.27 eV per atom
1.0
2.800 0.000 0.000
0.000 2.800 0.000
0.000 0.000 9.333
Zn W Br
2 1 1
direct
0.000 0.000 0.198 Zn
0.000 0.000 0.802 Zn
0.500 0.500 0.000 W
0.500 0.500 0.500 Br

---

Record 2
CuPtAu2 (GGA-PBEsol, optimized geometry); ρ = 17.85 Mg/m³; energy above the most stable polymorph in this dataset = 34 meV per atom; formation energy = -0.011 eV per atom; space group = I-4m2, No. 119; E_tot = -4.80 eV per atom
1.0
3.975 0.000 0.000
0.000 3.975 0.000
0.000 0.000 7.682
Cu Pt Au
2 2 4
direct
0.000 0.000 0.000 Cu
0.500 0.500 0.500 Cu
0.000 0.500 0.250 Pt
0.500 0.000 0.750 Pt
0.000 0.000 0.500 Au
0.000 0.500 0.750 Au
0.500 0.000 0.250 Au
0.500 0.500 0.000 Au

---

What is the energy above the most stable polymorph in this dataset in the second record?
34 meV per atom

---

Which value of ρ does entry 2 give?
17.85 Mg/m³

---

Among the records above, which one has the highest E_tot?
Zn2WBr